Sr2ScZn after structural relaxation. Source: Alexandria via LeMat-Bulk, functional PBE-GGA.

Results
total magnetic moment	0.21	μB/atom
ΔH_f (0 K)	123	meV per atom
crystal system	monoclinic
final energy	-2.619	eV per atom

```
Sr2ScZn
1.0
4.860 0.000 0.000
0.000 4.268 -0.004
0.000 2.141 6.771
Sc Sr Zn
1 2 1
Direct
0.500 0.574 0.726 Sc
0.500 0.279 0.317 Sr
0.000 0.965 0.944 Sr
0.000 0.682 0.512 Zn
```